*one*
First-principles (GGA-PBEsol) data for DyP3O9 after structural relaxation, as listed in Alexandria via LeMat-Bulk.

Computed properties:
* density: 3.4 g/cm3
* volume: 385.6 Å³/cell

```
data_DyP3O9
_chemical_formula_sum 'Dy2 P6 O18'
_cell_length_a 7.8782
_cell_length_b 7.8782
_cell_length_c 10.1034
_cell_angle_alpha 123.33
_cell_angle_beta 123.33
_cell_angle_gamma 50.78
_space_group_name_H-M_alt 'P 1'
_space_group_IT_number 1
_space_group_name_Hall 'P 1'
loop_
_atom_site_label
_atom_site_type_symbol
_atom_site_fract_x
_atom_site_fract_y
_atom_site_fract_z
Dy1 Dy 0.2340 0.7660 0.5000
Dy2 Dy 0.7660 0.2340 0.0000
P1 P 0.1772 0.3369 0.7719
P2 P 0.3369 0.1772 0.2719
P3 P 0.5611 0.7409 0.3344
P4 P 0.7409 0.5611 0.8344
P5 P 0.7431 0.9518 0.1628
P6 P 0.9518 0.7431 0.6628
O1 O 0.0806 0.8166 0.6563
O2 O 0.1295 0.1432 0.6317
O3 O 0.1299 0.5013 0.6968
O4 O 0.1432 0.1295 0.1317
O5 O 0.2797 0.4121 0.3962
O6 O 0.3834 0.7487 0.3568
O7 O 0.4121 0.2797 0.8962
O8 O 0.4990 0.9987 0.3752
O9 O 0.5013 0.1299 0.1968
O10 O 0.5897 0.6147 0.6731
O11 O 0.6147 0.5897 0.1731
O12 O 0.6621 0.7959 0.9793
O13 O 0.7487 0.3834 0.8568
O14 O 0.7959 0.6621 0.4793
O15 O 0.8166 0.0806 0.1563
O16 O 0.8167 0.9094 0.7835
O17 O 0.9094 0.8167 0.2835
O18 O 0.9987 0.4990 0.8752
```

=====

*two*
First-principles (GGA-PBEsol) data for DyP3O9 after structural relaxation, as listed in Alexandria via LeMat-Bulk.

Computed properties:
* density: 3.5 g/cm3
* volume: 750.6 Å³/cell

```
data_DyP3O9
_chemical_formula_sum 'Dy4 P12 O36'
_cell_length_a 6.9975
_cell_length_b 9.7167
_cell_length_c 11.0454
_cell_angle_alpha 90.00
_cell_angle_beta 91.80
_cell_angle_gamma 90.00
_space_group_name_H-M_alt 'P 1'
_space_group_IT_number 1
_space_group_name_Hall 'P 1'
loop_
_atom_site_label
_atom_site_type_symbol
_atom_site_fract_x
_atom_site_fract_y
_atom_site_fract_z
Dy1 Dy 0.1733 0.2500 0.4632
Dy2 Dy 0.3123 0.2500 0.9816
Dy3 Dy 0.6877 0.7500 0.0184
Dy4 Dy 0.8267 0.7500 0.5368
P1 P 0.1769 0.7500 0.1045
P2 P 0.2658 0.0108 0.2326
P3 P 0.2658 0.4892 0.2326
P4 P 0.3145 0.7500 0.6271
P5 P 0.3260 0.0346 0.7164
P6 P 0.3260 0.4654 0.7164
P7 P 0.6740 0.5346 0.2836
P8 P 0.6740 0.9654 0.2836
P9 P 0.6855 0.2500 0.3729
P10 P 0.7342 0.5108 0.7674
P11 P 0.7342 0.9892 0.7674
P12 P 0.8231 0.2500 0.8955
O1 O 0.0087 0.7500 0.0178
O2 O 0.1460 0.7500 0.5400
O3 O 0.1489 0.0870 0.3215
O4 O 0.1489 0.4130 0.3215
O5 O 0.1493 0.6247 0.1973
O6 O 0.1493 0.8753 0.1973
O7 O 0.2279 0.0929 0.6057
O8 O 0.2279 0.4071 0.6057
O9 O 0.2793 0.0910 0.8376
O10 O 0.2793 0.4090 0.8376
O11 O 0.2940 0.6277 0.7235
O12 O 0.2940 0.8723 0.7235
O13 O 0.3271 0.0853 0.1215
O14 O 0.3271 0.4147 0.1215
O15 O 0.3749 0.7500 0.0571
O16 O 0.4491 0.5508 0.3052
O17 O 0.4491 0.9492 0.3052
O18 O 0.4889 0.2500 0.4227
O19 O 0.5111 0.7500 0.5773
O20 O 0.5509 0.0508 0.6948
O21 O 0.5509 0.4492 0.6948
O22 O 0.6251 0.2500 0.9429
O23 O 0.6729 0.5853 0.8785
O24 O 0.6729 0.9147 0.8785
O25 O 0.7060 0.1277 0.2765
O26 O 0.7060 0.3723 0.2765
O27 O 0.7207 0.5910 0.1624
O28 O 0.7207 0.9090 0.1624
O29 O 0.7721 0.5929 0.3943
O30 O 0.7721 0.9071 0.3943
O31 O 0.8507 0.1247 0.8027
O32 O 0.8507 0.3753 0.8027
O33 O 0.8511 0.5870 0.6785
O34 O 0.8511 0.9130 0.6785
O35 O 0.8540 0.2500 0.4600
O36 O 0.9913 0.2500 0.9822
```

=====

Which of them is the least stable? Correct choice: *one*.

=====

*one*
First-principles (GGA-PBEsol) data for Dy2S2O after structural relaxation, as listed in Alexandria via LeMat-Bulk.

Computed properties:
* density: 7.2 g/cm3
* volume: 372.3 Å³/cell

```
data_Dy2S2O
_chemical_formula_sum 'Dy8 S8 O4'
_cell_length_a 8.1523
_cell_length_b 6.8326
_cell_length_c 6.7791
_cell_angle_alpha 90.00
_cell_angle_beta 99.60
_cell_angle_gamma 90.00
_space_group_name_H-M_alt 'P 1'
_space_group_IT_number 1
_space_group_name_Hall 'P 1'
loop_
_atom_site_label
_atom_site_type_symbol
_atom_site_fract_x
_atom_site_fract_y
_atom_site_fract_z
Dy1 Dy 0.0763 0.1431 0.3203
Dy2 Dy 0.0763 0.3569 0.8203
Dy3 Dy 0.3630 0.5541 0.2501
Dy4 Dy 0.3630 0.9459 0.7501
Dy5 Dy 0.6370 0.0541 0.2499
Dy6 Dy 0.6370 0.4459 0.7499
Dy7 Dy 0.9237 0.6431 0.1797
Dy8 Dy 0.9237 0.8569 0.6797
S1 S 0.1812 0.6341 0.5738
S2 S 0.1812 0.8659 0.0738
S3 S 0.4229 0.2223 0.4703
S4 S 0.4229 0.2777 0.9703
S5 S 0.5771 0.7223 0.0297
S6 S 0.5771 0.7777 0.5297
S7 S 0.8188 0.1341 0.9262
S8 S 0.8188 0.3659 0.4262
O1 O 0.1168 0.0871 0.6498
O2 O 0.1168 0.4129 0.1498
O3 O 0.8832 0.5871 0.8502
O4 O 0.8832 0.9129 0.3502
```

=====

*two*
First-principles (GGA-PBEsol) data for Dy2S2O after structural relaxation, as listed in Alexandria via LeMat-Bulk.

Computed properties:
* density: 7.0 g/cm3
* volume: 384.5 Å³/cell

```
data_Dy2S2O
_chemical_formula_sum 'Dy8 S8 O4'
_cell_length_a 15.3417
_cell_length_b 3.7614
_cell_length_c 6.6629
_cell_angle_alpha 90.00
_cell_angle_beta 90.00
_cell_angle_gamma 90.00
_space_group_name_H-M_alt 'P 1'
_space_group_IT_number 1
_space_group_name_Hall 'P 1'
loop_
_atom_site_label
_atom_site_type_symbol
_atom_site_fract_x
_atom_site_fract_y
_atom_site_fract_z
Dy1 Dy 0.0413 0.2500 0.2067
Dy2 Dy 0.1654 0.2500 0.7567
Dy3 Dy 0.3346 0.7500 0.2567
Dy4 Dy 0.4587 0.7500 0.7067
Dy5 Dy 0.5413 0.2500 0.2933
Dy6 Dy 0.6654 0.2500 0.7433
Dy7 Dy 0.8346 0.7500 0.2433
Dy8 Dy 0.9587 0.7500 0.7933
S1 S 0.1006 0.7500 0.5120
S2 S 0.1798 0.7500 0.0477
S3 S 0.3202 0.2500 0.5477
S4 S 0.3994 0.2500 0.0120
S5 S 0.6006 0.7500 0.9880
S6 S 0.6798 0.7500 0.4523
S7 S 0.8202 0.2500 0.9523
S8 S 0.8994 0.2500 0.4880
O1 O 0.0307 0.2500 0.8679
O2 O 0.4693 0.7500 0.3679
O3 O 0.5307 0.2500 0.6321
O4 O 0.9693 0.7500 0.1321
```

=====

Which of them is the least stable? Correct choice: *two*.

=====

*one*
First-principles (GGA-PBEsol) data for Pm3Dy after structural relaxation, as listed in Alexandria via LeMat-Bulk.

Computed properties:
* density: 7.9 g/cm3
* volume: 125.5 Å³/cell

```
data_Pm3Dy
_chemical_formula_sum 'Pm3 Dy1'
_cell_length_a 5.0066
_cell_length_b 5.0066
_cell_length_c 5.0066
_cell_angle_alpha 90.00
_cell_angle_beta 90.00
_cell_angle_gamma 90.00
_space_group_name_H-M_alt 'P 1'
_space_group_IT_number 1
_space_group_name_Hall 'P 1'
loop_
_atom_site_label
_atom_site_type_symbol
_atom_site_fract_x
_atom_site_fract_y
_atom_site_fract_z
Pm1 Pm 0.0000 0.0000 0.5000
Pm2 Pm 0.0000 0.5000 0.0000
Pm3 Pm 0.5000 0.0000 0.0000
Dy1 Dy 0.5000 0.5000 0.5000
```

=====

*two*
First-principles (GGA-PBEsol) data for Pm3Dy after structural relaxation, as listed in Alexandria via LeMat-Bulk.

Computed properties:
* density: 7.8 g/cm3
* volume: 253.3 Å³/cell

```
data_Pm3Dy
_chemical_formula_sum 'Pm6 Dy2'
_cell_length_a 7.1480
_cell_length_b 7.1480
_cell_length_c 5.7250
_cell_angle_alpha 90.00
_cell_angle_beta 90.00
_cell_angle_gamma 120.00
_space_group_name_H-M_alt 'P 1'
_space_group_IT_number 1
_space_group_name_Hall 'P 1'
loop_
_atom_site_label
_atom_site_type_symbol
_atom_site_fract_x
_atom_site_fract_y
_atom_site_fract_z
Pm1 Pm 0.1669 0.3338 0.2500
Pm2 Pm 0.1669 0.8331 0.2500
Pm3 Pm 0.3338 0.1669 0.7500
Pm4 Pm 0.6662 0.8331 0.2500
Pm5 Pm 0.8331 0.1669 0.7500
Pm6 Pm 0.8331 0.6662 0.7500
Dy1 Dy 0.3333 0.6667 0.7500
Dy2 Dy 0.6667 0.3333 0.2500
```

=====

Which of them is the least stable? Correct choice: *two*.

=====

*one*
First-principles (GGA-PBEsol) data for Sm3Dy after structural relaxation, as listed in Alexandria via LeMat-Bulk.

Computed properties:
* density: 8.2 g/cm3
* volume: 249.9 Å³/cell

```
data_Sm3Dy
_chemical_formula_sum 'Sm6 Dy2'
_cell_length_a 7.1272
_cell_length_b 7.1272
_cell_length_c 5.6812
_cell_angle_alpha 90.00
_cell_angle_beta 90.00
_cell_angle_gamma 120.00
_space_group_name_H-M_alt 'P 1'
_space_group_IT_number 1
_space_group_name_Hall 'P 1'
loop_
_atom_site_label
_atom_site_type_symbol
_atom_site_fract_x
_atom_site_fract_y
_atom_site_fract_z
Sm1 Sm 0.1667 0.3335 0.2500
Sm2 Sm 0.1667 0.8333 0.2500
Sm3 Sm 0.3335 0.1667 0.7500
Sm4 Sm 0.6665 0.8333 0.2500
Sm5 Sm 0.8333 0.1667 0.7500
Sm6 Sm 0.8333 0.6665 0.7500
Dy1 Dy 0.3333 0.6667 0.7500
Dy2 Dy 0.6667 0.3333 0.2500
```

=====

*two*
First-principles (GGA-PBEsol) data for Sm3Dy after structural relaxation, as listed in Alexandria via LeMat-Bulk.

Computed properties:
* density: 8.2 g/cm3
* volume: 123.8 Å³/cell

```
data_Sm3Dy
_chemical_formula_sum 'Sm3 Dy1'
_cell_length_a 6.1015
_cell_length_b 6.1015
_cell_length_c 6.1015
_cell_angle_alpha 131.76
_cell_angle_beta 131.76
_cell_angle_gamma 70.61
_space_group_name_H-M_alt 'P 1'
_space_group_IT_number 1
_space_group_name_Hall 'P 1'
loop_
_atom_site_label
_atom_site_type_symbol
_atom_site_fract_x
_atom_site_fract_y
_atom_site_fract_z
Sm1 Sm 0.0000 0.0000 0.0000
Sm2 Sm 0.2500 0.7500 0.5000
Sm3 Sm 0.7500 0.2500 0.5000
Dy1 Dy 0.5000 0.5000 0.0000
```

=====

Which of them is the least stable? Correct choice: *one*.

=====

*one*
First-principles (GGA-PBEsol) data for Er2MgS4 after structural relaxation, as listed in Alexandria via LeMat-Bulk.

Computed properties:
* density: 5.6 g/cm3
* volume: 287.9 Å³/cell

```
data_Er2MgS4
_chemical_formula_sum 'Er4 Mg2 S8'
_cell_length_a 6.4202
_cell_length_b 6.4202
_cell_length_c 12.6215
_cell_angle_alpha 90.00
_cell_angle_beta 90.00
_cell_angle_gamma 146.40
_space_group_name_H-M_alt 'P 1'
_space_group_IT_number 1
_space_group_name_Hall 'P 1'
loop_
_atom_site_label
_atom_site_type_symbol
_atom_site_fract_x
_atom_site_fract_y
_atom_site_fract_z
Er1 Er 0.1195 0.8805 0.5000
Er2 Er 0.3607 0.6393 0.2978
Er3 Er 0.6393 0.3607 0.7978
Er4 Er 0.8805 0.1195 0.0000
Mg1 Mg 0.3754 0.6246 0.6613
Mg2 Mg 0.6246 0.3754 0.1613
S1 S 0.0156 0.9844 0.7086
S2 S 0.2610 0.7390 0.1102
S3 S 0.2897 0.7103 0.8520
S4 S 0.4646 0.5354 0.4811
S5 S 0.5354 0.4646 0.9811
S6 S 0.7103 0.2897 0.3520
S7 S 0.7390 0.2610 0.6102
S8 S 0.9844 0.0156 0.2086
```

=====

*two*
First-principles (GGA-PBEsol) data for Er2MgS4 after structural relaxation, as listed in Alexandria via LeMat-Bulk.

Computed properties:
* density: 4.9 g/cm3
* volume: 329.9 Å³/cell

```
data_Er2MgS4
_chemical_formula_sum 'Er4 Mg2 S8'
_cell_length_a 7.7555
_cell_length_b 7.7555
_cell_length_c 7.7555
_cell_angle_alpha 60.00
_cell_angle_beta 60.00
_cell_angle_gamma 60.00
_space_group_name_H-M_alt 'P 1'
_space_group_IT_number 1
_space_group_name_Hall 'P 1'
loop_
_atom_site_label
_atom_site_type_symbol
_atom_site_fract_x
_atom_site_fract_y
_atom_site_fract_z
Er1 Er 0.0000 0.0000 0.0000
Er2 Er 0.0000 0.0000 0.5000
Er3 Er 0.0000 0.5000 0.0000
Er4 Er 0.5000 0.0000 0.0000
Mg1 Mg 0.3750 0.3750 0.3750
Mg2 Mg 0.6250 0.6250 0.6250
S1 S 0.2339 0.7554 0.7554
S2 S 0.2446 0.2446 0.2446
S3 S 0.2446 0.2446 0.7661
S4 S 0.2446 0.7661 0.2446
S5 S 0.7554 0.2339 0.7554
S6 S 0.7554 0.7554 0.2339
S7 S 0.7554 0.7554 0.7554
S8 S 0.7661 0.2446 0.2446
```

=====

Which of them is the least stable? Correct choice: *two*.

=====

*one*
First-principles (GGA-PBEsol) data for Er2MgSe4 after structural relaxation, as listed in Alexandria via LeMat-Bulk.

Computed properties:
* density: 6.0 g/cm3
* volume: 376.5 Å³/cell

```
data_Er2MgSe4
_chemical_formula_sum 'Er4 Mg2 Se8'
_cell_length_a 8.1055
_cell_length_b 8.1055
_cell_length_c 8.1055
_cell_angle_alpha 60.00
_cell_angle_beta 60.00
_cell_angle_gamma 60.00
_space_group_name_H-M_alt 'P 1'
_space_group_IT_number 1
_space_group_name_Hall 'P 1'
loop_
_atom_site_label
_atom_site_type_symbol
_atom_site_fract_x
_atom_site_fract_y
_atom_site_fract_z
Er1 Er 0.0000 0.0000 0.0000
Er2 Er 0.0000 0.0000 0.5000
Er3 Er 0.0000 0.5000 0.0000
Er4 Er 0.5000 0.0000 0.0000
Mg1 Mg 0.3750 0.3750 0.3750
Mg2 Mg 0.6250 0.6250 0.6250
Se1 Se 0.2343 0.7552 0.7552
Se2 Se 0.2448 0.2448 0.2448
Se3 Se 0.2448 0.2448 0.7657
Se4 Se 0.2448 0.7657 0.2448
Se5 Se 0.7552 0.2343 0.7552
Se6 Se 0.7552 0.7552 0.2343
Se7 Se 0.7552 0.7552 0.7552
Se8 Se 0.7657 0.2448 0.2448
```

=====

*two*
First-principles (GGA-PBEsol) data for Er2MgSe4 after structural relaxation, as listed in Alexandria via LeMat-Bulk.

Computed properties:
* density: 6.5 g/cm3
* volume: 693.5 Å³/cell

```
data_Er2MgSe4
_chemical_formula_sum 'Er8 Mg4 Se16'
_cell_length_a 12.9221
_cell_length_b 3.9334
_cell_length_c 13.6448
_cell_angle_alpha 90.00
_cell_angle_beta 90.00
_cell_angle_gamma 90.00
_space_group_name_H-M_alt 'P 1'
_space_group_IT_number 1
_space_group_name_Hall 'P 1'
loop_
_atom_site_label
_atom_site_type_symbol
_atom_site_fract_x
_atom_site_fract_y
_atom_site_fract_z
Er1 Er 0.1140 0.2500 0.0759
Er2 Er 0.1440 0.2500 0.7021
Er3 Er 0.3560 0.7500 0.2021
Er4 Er 0.3860 0.7500 0.5759
Er5 Er 0.6140 0.2500 0.4241
Er6 Er 0.6440 0.2500 0.7979
Er7 Er 0.8560 0.7500 0.2979
Er8 Er 0.8860 0.7500 0.9241
Mg1 Mg 0.1146 0.7500 0.4470
Mg2 Mg 0.3854 0.2500 0.9470
Mg3 Mg 0.6146 0.7500 0.0530
Mg4 Mg 0.8854 0.2500 0.5530
Se1 Se 0.0125 0.7500 0.6175
Se2 Se 0.0315 0.2500 0.8809
Se3 Se 0.2197 0.2500 0.2537
Se4 Se 0.2434 0.2500 0.5138
Se5 Se 0.2566 0.7500 0.0138
Se6 Se 0.2803 0.7500 0.7537
Se7 Se 0.4685 0.7500 0.3809
Se8 Se 0.4875 0.2500 0.1175
Se9 Se 0.5125 0.7500 0.8825
Se10 Se 0.5315 0.2500 0.6191
Se11 Se 0.7197 0.2500 0.2463
Se12 Se 0.7434 0.2500 0.9862
Se13 Se 0.7566 0.7500 0.4862
Se14 Se 0.7803 0.7500 0.7463
Se15 Se 0.9685 0.7500 0.1191
Se16 Se 0.9875 0.2500 0.3825
```

=====

Which of them is the least stable? Correct choice: *two*.